No. 1
16
Lattice="7.655 0.000 0.000 0.000 7.655 0.000 0.000 0.000 7.655" Properties=species:S:1:pos:R:3 comment="LuGaBi2, relaxed, DFT PBE-GGA" density_g_cm3=9.8 space_group="F-43m (216)" total_energy_ev_per_atom=-3.9875 crystal_system=cubic pbc="T T T"
Lu 0.000 0.000 0.000
Lu 0.000 3.827 3.827
Lu 3.827 0.000 3.827
Lu 3.827 3.827 0.000
Ga 1.914 1.914 5.741
Ga 1.914 5.741 1.914
Ga 5.741 1.914 1.914
Ga 5.741 5.741 5.741
Bi 0.000 0.000 3.827
Bi 0.000 3.827 0.000
Bi 1.914 1.914 1.914
Bi 1.914 5.741 5.741
Bi 3.827 0.000 0.000
Bi 3.827 3.827 3.827
Bi 5.741 1.914 5.741
Bi 5.741 5.741 1.914

=====

No. 2
16
Lattice="6.114 0.000 0.000 0.000 6.114 0.000 0.000 0.000 6.114" Properties=species:S:1:pos:R:3 comment="MgCoNiSb, relaxed, DFT PBE-GGA" density_g_cm3=7.7 space_group="F-43m (216)" total_energy_ev_per_atom=-4.7175 crystal_system=cubic pbc="T T T"
Mg 0.000 0.000 0.000
Mg 0.000 3.057 3.057
Mg 3.057 0.000 3.057
Mg 3.057 3.057 0.000
Co 1.529 1.529 1.529
Co 1.529 4.586 4.586
Co 4.586 1.529 4.586
Co 4.586 4.586 1.529
Ni 1.529 1.529 4.586
Ni 1.529 4.586 1.529
Ni 4.586 1.529 1.529
Ni 4.586 4.586 4.586
Sb 0.000 0.000 3.057
Sb 0.000 3.057 0.000
Sb 3.057 0.000 0.000
Sb 3.057 3.057 3.057

=====

No. 3
16
Lattice="6.111 0.000 0.000 0.000 6.111 0.000 0.000 0.000 6.111" Properties=species:S:1:pos:R:3 comment="LuZnCuB, relaxed, DFT PBE-GGA" density_g_cm3=9.2 space_group="F-43m (216)" total_energy_ev_per_atom=-3.8714 crystal_system=cubic pbc="T T T"
Lu 0.000 0.000 0.000
Lu 0.000 3.056 3.056
Lu 3.056 0.000 3.056
Lu 3.056 3.056 0.000
Zn 1.528 1.528 4.583
Zn 1.528 4.583 1.528
Zn 4.583 1.528 1.528
Zn 4.583 4.583 4.583
Cu 0.000 0.000 3.056
Cu 0.000 3.056 0.000
Cu 3.056 0.000 0.000
Cu 3.056 3.056 3.056
B 1.528 1.528 1.528
B 1.528 4.583 4.583
B 4.583 1.528 4.583
B 4.583 4.583 1.528

=====

No. 4
24
Lattice="12.726 0.000 0.000 0.000 4.299 0.000 0.000 0.000 12.419" Properties=species:S:1:pos:R:3 comment="NaPrHgSe3, relaxed, DFT PBE-GGA" density_g_cm3=5.9 space_group="Pnma (62)" total_energy_ev_per_atom=-3.9193 crystal_system=orthorhombic pbc="T T T"
Na 1.713 1.075 0.090
Na 4.650 3.224 6.300
Na 8.076 1.075 6.119
Na 11.012 3.224 12.329
Pr 0.589 1.075 8.402
Pr 5.774 3.224 2.192
Pr 6.952 1.075 10.227
Pr 12.137 3.224 4.018
Hg 3.033 1.075 3.642
Hg 3.329 3.224 9.851
Hg 9.396 1.075 2.568
Hg 9.692 3.224 8.778
Se 0.734 3.224 10.553
Se 1.028 1.075 5.309
Se 2.840 3.224 1.921
Se 3.522 1.075 8.131
Se 5.335 3.224 11.518
Se 5.629 1.075 4.344
Se 7.096 3.224 8.076
Se 7.391 1.075 0.901
Se 9.203 3.224 4.289
Se 9.885 1.075 10.498
Se 11.698 3.224 7.111
Se 11.992 1.075 1.866

=====

No. 5
4
Lattice="4.150 0.000 0.000 0.000 4.150 0.000 0.000 0.000 4.163" Properties=species:S:1:pos:R:3 comment="ZrO3, relaxed, DFT PBE-GGA" density_g_cm3=3.2 space_group="P4mm (99)" total_energy_ev_per_atom=-7.6574 crystal_system=tetragonal pbc="T T T"
Zr 0.000 0.000 0.000
O 0.000 0.000 2.082
O 0.000 2.075 0.013
O 2.075 0.000 0.013

=====

No. 6
9
Lattice="-1.626 2.723 4.660 1.626 -2.723 4.660 1.626 2.723 -4.660" Properties=species:S:1:pos:R:3 comment="TbFe2C6, relaxed, DFT PBE-GGA" density_g_cm3=6.9 space_group="Immm (71)" total_energy_ev_per_atom=-7.8983 crystal_system=orthorhombic pbc="T T T"
Tb 0.000 0.000 0.000
Fe 1.626 0.000 2.540
Fe 0.000 2.723 2.120
C 1.626 1.487 -1.343
C 1.626 1.976 0.000
C 1.626 1.487 1.343
C 0.000 1.236 3.317
C 0.000 0.746 4.660
C 0.000 1.236 6.002

=====

No. 7
8
Lattice="4.408 0.000 0.000 -2.204 3.817 0.000 0.000 0.000 9.076" Properties=species:S:1:pos:R:3 comment="TbGdGe2Pd4, relaxed, DFT PBE-GGA" density_g_cm3=9.6 space_group="P-6m2 (187)" total_energy_ev_per_atom=-5.7404 crystal_system=hexagonal pbc="T T T"
Tb 0.000 0.000 0.000
Gd 2.204 1.272 4.538
Ge 0.000 2.545 2.262
Ge 0.000 2.545 6.814
Pd 0.000 0.000 2.999
Pd 0.000 0.000 6.077
Pd 2.204 1.272 1.525
Pd 2.204 1.272 7.550

=====

No. 8
9
Lattice="8.286 0.000 0.000 -4.143 7.176 0.000 0.000 0.000 4.158" Properties=species:S:1:pos:R:3 comment="Y3Ho3BiTeOs, relaxed, DFT PBE-GGA" density_g_cm3=8.7 space_group="P-6 (174)" total_energy_ev_per_atom=-6.3773 crystal_system=hexagonal pbc="T T T"
Y -2.509 4.392 0.000
Y 1.594 2.807 0.000
Y 0.915 7.153 0.000
Ho -0.969 1.690 2.079
Ho -2.195 7.170 2.079
Ho 3.164 5.492 2.079
Bi 4.143 2.392 2.079
Te 0.000 4.784 2.079
Os 0.000 0.000 0.000

=====

no.,spin magnetization (μB per cell)
1,0.02
2,0.85
3,0.00
4,0.00
5,2.00
6,0.37
7,0.00
8,0.08